# ZnSiSb2 meta-GGA SCAN PBEsol geometry
# **E_form (uncorrected)**: 0.37 eV/atom
# **Total moment**: 0.00 Bohr magnetons per cell
# **Uncorrected energy**: -24.1391 eV per atom
# **Crystal system**: trigonal
data_ZnSiSb2
_space_group_name_H-M_alt 'R 3 m'
_space_group_IT_number 160
_space_group_name_Hall 'R 3 -2"'
_cell_length_a 3.4164
_cell_length_b 3.4164
_cell_length_c 26.9099
_cell_angle_alpha 90.00
_cell_angle_beta 90.00
_cell_angle_gamma 120.00
loop_
_atom_site_label
_atom_site_type_symbol
_atom_site_fract_x
_atom_site_fract_y
_atom_site_fract_z
Zn1 Zn 0.0000 0.0000 0.0000
Si1 Si 0.0000 0.0000 0.2718
Sb1 Sb 0.0000 0.0000 0.5362
Sb2 Sb 0.0000 0.0000 0.7417

=====

# FeMo2HRu meta-GGA SCAN PBEsol geometry
# **Total moment**: 1.44 Bohr magnetons per cell
# **Uncorrected energy**: -25.1216 eV per atom
# **Crystal system**: tetragonal
data_FeMo2HRu
_space_group_name_H-M_alt 'P 4/m m m'
_space_group_IT_number 123
_space_group_name_Hall '-P 4 2'
_cell_length_a 3.891
_cell_length_b 3.891
_cell_length_c 3.687
_cell_angle_alpha 90.00
_cell_angle_beta 90.00
_cell_angle_gamma 90.00
loop_
_atom_site_label
_atom_site_type_symbol
_atom_site_fract_x
_atom_site_fract_y
_atom_site_fract_z
Fe1 Fe 0.000 0.000 0.000
Mo1 Mo 0.000 0.500 0.500
H1 H 0.000 0.000 0.500
Ru1 Ru 0.500 0.500 0.000

=====

# La2SiC meta-GGA SCAN PBEsol geometry
# **E_form (uncorrected)**: 0.31 eV/atom
# **Total moment**: 0.03 Bohr magnetons per cell
# **Uncorrected energy**: -26.2697 eV per atom
# **Crystal system**: cubic
data_La2SiC
_space_group_name_H-M_alt 'F m -3 m'
_space_group_IT_number 225
_space_group_name_Hall '-F 4 2 3'
_cell_length_a 6.970
_cell_length_b 6.970
_cell_length_c 6.970
_cell_angle_alpha 90.00
_cell_angle_beta 90.00
_cell_angle_gamma 90.00
loop_
_atom_site_label
_atom_site_type_symbol
_atom_site_fract_x
_atom_site_fract_y
_atom_site_fract_z
La1 La 0.250 0.250 0.250
Si1 Si 0.000 0.000 0.000
C1 C 0.000 0.000 0.500

=====

# InSn2Hg meta-GGA SCAN PBEsol geometry
# **Distance to the lowest polymorph of the same formula**: 0 meV/atom
# **Total moment**: 0.00 Bohr magnetons per cell
# **Uncorrected energy**: -43.2714 eV per atom
# **Crystal system**: tetragonal
data_InSn2Hg
_space_group_name_H-M_alt 'I -4 2 d'
_space_group_IT_number 122
_space_group_name_Hall 'I -4 2bw'
_cell_length_a 4.315
_cell_length_b 4.315
_cell_length_c 22.278
_cell_angle_alpha 90.00
_cell_angle_beta 90.00
_cell_angle_gamma 90.00
loop_
_atom_site_label
_atom_site_type_symbol
_atom_site_fract_x
_atom_site_fract_y
_atom_site_fract_z
In1 In 0.000 0.000 0.000
Sn1 Sn 0.246 0.250 0.625
Hg1 Hg 0.000 0.000 0.500